No. 1
An optimized crystal structure of W6CCl18. Source: Alexandria, functional PBE.

Geometry as POSCAR:
```
W6CCl18
1.0
9.4705 0.0000 0.0000
-4.7352 8.2017 0.0000
0.0000 0.0000 18.6362
W C Cl
12 2 36
direct
0.1567 0.5083 0.1710
0.1567 0.5083 0.3290
0.3516 0.8433 0.1710
0.3516 0.8433 0.3290
0.4917 0.6484 0.1710
0.4917 0.6484 0.3290
0.5083 0.1567 0.6710
0.5083 0.1567 0.8290
0.6484 0.4917 0.6710
0.6484 0.4917 0.8290
0.8433 0.3516 0.6710
0.8433 0.3516 0.8290
0.3333 0.6667 0.2500
0.6667 0.3333 0.7500
0.0440 0.5611 0.7500
0.0773 0.3752 0.6103
0.0773 0.3752 0.8897
0.1218 0.2873 0.2500
0.1390 0.6889 0.0859
0.1390 0.6889 0.4141
0.1655 0.8782 0.2500
0.2873 0.1218 0.7500
0.2978 0.9227 0.6103
0.2978 0.9227 0.8897
0.3111 0.4501 0.0859
0.3111 0.4501 0.4141
0.3752 0.0773 0.1103
0.3752 0.0773 0.3897
0.4389 0.4830 0.7500
0.4501 0.3111 0.5859
0.4501 0.3111 0.9141
0.4830 0.4389 0.2500
0.5170 0.9560 0.7500
0.5499 0.8610 0.0859
0.5499 0.8610 0.4141
0.5611 0.0440 0.2500
0.6248 0.7022 0.6103
0.6248 0.7022 0.8897
0.6889 0.1390 0.5859
0.6889 0.1390 0.9141
0.7022 0.6248 0.1103
0.7022 0.6248 0.3897
0.7127 0.8345 0.2500
0.8345 0.7127 0.7500
0.8610 0.5499 0.5859
0.8610 0.5499 0.9141
0.8782 0.1655 0.7500
0.9227 0.2978 0.1103
0.9227 0.2978 0.3897
0.9560 0.5170 0.2500
```

Output
The calculation puts the formation energy (no corrections) at -0.814 eV per atom. For the total magnetization, the calculation gives 0.00 μB per formula unit.



No. 2
An optimized crystal structure of ZrWC2Cl. Source: Alexandria, functional PBE.

Geometry as POSCAR:
```
ZrWC2Cl
1.0
4.1887 0.0000 0.0000
0.0000 4.1887 0.0000
0.0000 0.0000 5.4773
Zr W C Cl
1 1 2 1
direct
0.0000 0.0000 0.0000
0.0000 0.0000 0.5000
0.0000 0.5000 0.0000
0.5000 0.0000 0.0000
0.5000 0.5000 0.5000
```

Output
The calculation puts the formation energy (no corrections) at 2.420 eV per atom. For the total magnetization, the calculation gives 0.00 μB per formula unit.



No. 3
An optimized crystal structure of Y3C2Cl. Source: Alexandria, functional PBE.

Geometry as POSCAR:
```
Y3C2Cl
1.0
6.3262 -1.8344 0.0000
6.3262 1.8344 0.0000
-4.6219 0.0000 9.5978
Y C Cl
6 4 2
direct
0.0252 0.0252 0.2742
0.3358 0.3358 0.4309
0.3595 0.3595 0.9037
0.6405 0.6405 0.0963
0.6642 0.6642 0.5691
0.9748 0.9748 0.7258
0.0000 0.0000 0.0000
0.0000 0.0000 0.5000
0.3345 0.3345 0.6677
0.6655 0.6655 0.3323
0.3287 0.3287 0.1566
0.6713 0.6713 0.8434
```

Output
The calculation puts the formation energy (no corrections) at -0.812 eV per atom. For the total magnetization, the calculation gives 0.00 μB per formula unit.



No. 4
An optimized crystal structure of YC3Cl. Source: Alexandria, functional PBE.

Geometry as POSCAR:
```
YC3Cl
1.0
4.7323 0.0000 0.0000
0.0000 4.7323 0.0000
0.0000 0.0000 4.7323
Y C Cl
1 3 1
direct
0.0000 0.0000 0.0000
0.0000 0.0000 0.5000
0.0000 0.5000 0.0000
0.5000 0.0000 0.0000
0.5000 0.5000 0.5000
```

Output
Its offset from the most stable computed form is 573 meV/atom. The calculation puts the formation energy (no corrections) at 2.932 eV per atom. For the total magnetization, the calculation gives 2.83 μB per formula unit.



No. 5
An optimized crystal structure of Y2CCl. Source: Alexandria, functional PBE.

Geometry as POSCAR:
```
Y2CCl
1.0
0.0000 3.2782 3.2782
3.2782 0.0000 3.2782
3.2782 3.2782 0.0000
Y C Cl
2 1 1
direct
0.2500 0.2500 0.2500
0.7500 0.7500 0.7500
0.0000 0.0000 0.0000
0.5000 0.5000 0.5000
```

Output
The calculation puts the formation energy (no corrections) at -0.305 eV per atom. For the total magnetization, the calculation gives 0.00 μB per formula unit.



No. 6
An optimized crystal structure of Y4C2Cl3. Source: Alexandria, functional PBE.

Geometry as POSCAR:
```
Y4C2Cl3
1.0
3.2016 -1.8484 0.0000
3.2016 1.8484 0.0000
-0.0165 0.0000 16.7963
Y C Cl
4 2 3
direct
0.0007 0.0007 0.2826
0.3337 0.3337 0.1264
0.6663 0.6663 0.8736
0.9993 0.9993 0.7174
0.3328 0.3328 0.8019
0.6672 0.6672 0.1981
0.0000 0.0000 0.0000
0.3343 0.3343 0.3869
0.6657 0.6657 0.6131
```

Output
The calculation puts the formation energy (no corrections) at -1.343 eV per atom. For the total magnetization, the calculation gives 0.00 μB per formula unit.



No. 7
An optimized crystal structure of YC3Cl. Source: Alexandria, functional PBE.

Geometry as POSCAR:
```
YC3Cl
1.0
3.9775 0.0000 0.0000
0.0000 3.9775 0.0000
0.0000 0.0000 3.9775
Y C Cl
1 3 1
direct
0.0000 0.0000 0.0000
0.0000 0.5000 0.5000
0.5000 0.0000 0.5000
0.5000 0.5000 0.0000
0.5000 0.5000 0.5000
```

Output
Its offset from the most stable computed form is 0 meV/atom. The calculation puts the formation energy (no corrections) at 2.358 eV per atom. For the total magnetization, the calculation gives 0.00 μB per formula unit.



No. 8
An optimized crystal structure of YCCl2. Source: Alexandria, functional PBE.

Geometry as POSCAR:
```
YCCl2
1.0
0.0000 3.3554 3.3554
3.3554 0.0000 3.3554
3.3554 3.3554 0.0000
Y C Cl
1 1 2
direct
0.0000 0.0000 0.0000
0.5000 0.5000 0.5000
0.2500 0.2500 0.2500
0.7500 0.7500 0.7500
```

Output
Its offset from the most stable computed form is 0 meV/atom. The calculation puts the formation energy (no corrections) at 0.121 eV per atom. For the total magnetization, the calculation gives 3.00 μB per formula unit.



No. 9
An optimized crystal structure of Y6C3Cl2. Source: Alexandria, functional PBE.

Geometry as POSCAR:
```
Y6C3Cl2
1.0
3.1881 -5.5182 0.0000
3.1881 5.5182 0.0000
-2.1273 0.0000 6.4550
Y C Cl
6 3 2
direct
0.0996 0.4273 0.7990
0.2284 0.2284 0.2022
0.4273 0.0996 0.7990
0.5727 0.9004 0.2010
0.7716 0.7716 0.7978
0.9004 0.5727 0.2010
0.1682 0.8318 0.0000
0.5000 0.5000 0.0000
0.8318 0.1682 0.0000
0.3333 0.6667 0.5000
0.6667 0.3333 0.5000
```

Output
The calculation puts the formation energy (no corrections) at -0.882 eV per atom. For the total magnetization, the calculation gives 0.00 μB per formula unit.



No. 10
An optimized crystal structure of YCCl2. Source: Alexandria, functional PBE.

Geometry as POSCAR:
```
YCCl2
1.0
-2.1156 2.1156 8.9769
2.1156 -2.1156 8.9769
2.1156 2.1156 -8.9769
Y C Cl
2 2 4
direct
0.0000 0.0000 0.0000
0.7500 0.2500 0.5000
0.2500 0.7500 0.5000
0.5000 0.5000 0.0000
0.1288 0.6250 0.0038
0.3750 0.3788 0.5038
0.6212 0.1250 0.9962
0.8750 0.8712 0.4962
```

Output
Its offset from the most stable computed form is 25 meV/atom. The calculation puts the formation energy (no corrections) at 0.145 eV per atom. For the total magnetization, the calculation gives 0.94 μB per formula unit.



No. 11
An optimized crystal structure of Y2CCl2. Source: Alexandria, functional PBE.

Geometry as POSCAR:
```
Y2CCl2
1.0
3.2229 -1.8613 0.0000
3.2229 1.8613 0.0000
-2.3934 0.0000 10.3353
Y C Cl
2 1 2
direct
0.2152 0.2152 0.1306
0.7848 0.7848 0.8694
0.5000 0.5000 0.0000
0.0554 0.0554 0.7002
0.9446 0.9446 0.2998
```

Output
The calculation puts the formation energy (no corrections) at -1.533 eV per atom. For the total magnetization, the calculation gives 0.00 μB per formula unit.



No. 12
An optimized crystal structure of YC2Cl. Source: Alexandria, functional PBE.

Geometry as POSCAR:
```
YC2Cl
1.0
-1.7548 1.7548 10.8414
1.7548 -1.7548 10.8414
1.7548 1.7548 -10.8414
Y C Cl
2 4 2
direct
0.3750 0.6250 0.7500
0.6250 0.3750 0.2500
0.0000 0.0000 0.0000
0.0000 0.0000 0.5000
0.0000 0.5000 0.0000
0.5000 0.0000 0.5000
0.1250 0.8750 0.2500
0.8750 0.1250 0.7500
```

Output
Its offset from the most stable computed form is 0 meV/atom. The calculation puts the formation energy (no corrections) at 1.311 eV per atom. For the total magnetization, the calculation gives 0.00 μB per formula unit.



No. 13
An optimized crystal structure of Y2CCl. Source: Alexandria, functional PBE.

Geometry as POSCAR:
```
Y2CCl
1.0
1.8244 1.0533 6.8956
-1.8244 1.0533 6.8956
0.0000 -2.1066 6.8956
Y C Cl
2 1 1
direct
0.0000 0.0000 0.0000
0.2089 0.2089 0.2089
0.6025 0.6025 0.6025
0.7724 0.7724 0.7724
```

Output
The calculation puts the formation energy (no corrections) at -1.080 eV per atom. For the total magnetization, the calculation gives 0.00 μB per formula unit.